Computed, not measured: Y8Er5Th after structural relaxation at the GGA-PBE level of DFT.

Results
**Total energy**: -78.13 eV for the cell shown
**Symmetry**: I-4
**Total magnetization**: 0.00 μB/f.u.
**Formation energy from the elements**: 0.272 eV/atom
**ρ**: 6.375 g cm⁻³

a b c (Å): 8.448 8.448 8.448
angles (deg): 110.70 110.70 107.04
Sites, in units of the cell vectors:
1 Er 0.464 0.063 0.180
2 Y 0.086 0.984 0.756
3 Y 0.825 0.414 0.235
4 Y 0.586 0.821 0.411
5 Y 0.016 0.772 0.102
6 Y 0.410 0.175 0.589
7 Th 0.250 0.750 0.500
8 Er 0.884 0.284 0.820
9 Er 0.500 0.500 0.000
10 Y 0.228 0.330 0.244
11 Er 0.716 0.536 0.599
12 Y 0.179 0.590 0.765
13 Er 0.937 0.116 0.401
14 Y 0.670 0.914 0.898

Computed, not measured: BeNbCo after structural relaxation at the GGA-PBE level of DFT.

Results
**Total energy**: -40.68 eV for the cell shown
**ΔE to the lowest computed polymorph**: 0.4605 eV per atom
**Symmetry**: Fmm2
**Total magnetization**: 0.00 μB/f.u.
**Formation energy from the elements**: 0.187 eV/atom
**ρ**: 6.993 g cm⁻³

a b c (Å): 4.131 5.276 4.131
angles (deg): 69.90 82.98 110.10
Sites, in units of the cell vectors:
1 Co 0.386 0.000 0.210
2 Nb 0.198 0.513 0.802
3 Co 0.790 0.000 0.614
4 Be 0.251 0.000 0.749
5 Be 0.885 0.000 0.115
6 Nb 0.685 0.487 0.315

Computed, not measured: Nd6TeC after structural relaxation at the GGA-PBE level of DFT.

Results
**Energy relative to the elements, uncorrected**: -0.23 eV/atom
**Total energy**: -42.83 eV for the cell shown
**Symmetry**: P-1
**Total magnetization**: 0.00 μB/f.u.
**ρ**: 6.295 g cm⁻³

a b c (Å): 6.780 6.822 7.657
angles (deg): 63.83 64.22 60.22
Sites, in units of the cell vectors:
1 Te 0.500 0.500 0.500
2 Nd 0.392 0.777 0.782
3 Nd 0.225 0.955 0.219
4 Nd 0.952 0.606 0.219
5 Nd 0.608 0.223 0.218
6 C 0.000 0.000 0.000
7 Nd 0.048 0.394 0.781
8 Nd 0.775 0.045 0.781

Computed, not measured: Pm6Dy2Pu after structural relaxation at the GGA-PBE level of DFT.

Results
**Total energy**: -103.09 eV for the cell shown
**Symmetry**: P4_2/mnm
**Total magnetization**: 6.40 μB/f.u.
**Formation energy from the elements**: 0.055 eV/atom
**ρ**: 8.057 g cm⁻³

a b c (Å): 10.791 5.094 10.792
angles (deg): 90.00 90.00 90.00
Last column: magnetic moment on the atom in μB.
Sites, in units of the cell vectors:
1 Dy 0.664 0.000 0.164  0.09
2 Pm 0.336 0.000 0.164  0.04
3 Pm 0.500 0.500 0.671  -0.01
4 Pm 0.329 0.000 0.500  -0.01
5 Pm 0.171 0.500 0.000  -0.01
6 Pm 0.000 0.000 0.171  -0.01
7 Dy 0.336 0.000 0.836  0.09
8 Pu 0.000 0.000 0.500  5.61
9 Dy 0.836 0.500 0.664  0.09
10 Pm 0.829 0.500 0.000  -0.01
11 Pm 0.000 0.000 0.829  -0.01
12 Pm 0.836 0.500 0.336  0.04
13 Dy 0.164 0.500 0.336  0.09
14 Pm 0.664 0.000 0.836  0.04
15 Pu 0.500 0.500 0.000  5.61
16 Pm 0.500 0.500 0.329  -0.01
17 Pm 0.671 0.000 0.500  -0.01
18 Pm 0.164 0.500 0.664  0.04

Computed, not measured: UTa2Tl2Te6 after structural relaxation at the GGA-PBE level of DFT.

Results
**Energy relative to the elements, uncorrected**: -0.32 eV/atom
**Total energy**: -62.13 eV for the cell shown
**Symmetry**: C2/m
**Total magnetization**: 2.50 μB/f.u.
**ρ**: 8.204 g cm⁻³

a b c (Å): 6.868 6.868 8.868
angles (deg): 95.32 95.32 119.15
Last column: magnetic moment on the atom in μB.
Sites, in units of the cell vectors:
1 Te 0.041 0.410 0.687  -0.03
2 Te 0.410 0.041 0.687  -0.03
3 U 0.000 0.000 0.500  2.11
4 Te 0.718 0.718 0.735  -0.03
5 Ta 0.374 0.626 0.500  0.14
6 Te 0.282 0.282 0.265  -0.03
7 Te 0.590 0.959 0.313  -0.03
8 Ta 0.626 0.374 0.500  0.14
9 Tl 0.175 0.825 0.000  0.00
10 Te 0.959 0.590 0.313  -0.03
11 Tl 0.825 0.175 0.000  0.00

Computed, not measured: TbPuHf after structural relaxation at the GGA-PBE level of DFT.

Results
**Total energy**: -28.41 eV for the cell shown
**ΔE to the lowest computed polymorph**: 0.0076 eV per atom
**Symmetry**: I4mm
**Total magnetization**: 5.67 μB/f.u.
**Formation energy from the elements**: 0.168 eV/atom
**ρ**: 12.254 g cm⁻³

a b c (Å): 3.310 3.310 7.561
angles (deg): 102.64 102.64 90.00
Last column: magnetic moment on the atom in μB.
Sites, in units of the cell vectors:
1 Hf 0.672 0.672 0.344  -0.08
2 Pu 0.323 0.323 0.647  5.35
3 Tb 0.005 0.005 0.009  0.10

total magnetization of number 1 (Y8Er5Th)?
0.00 μB/f.u.